[1]
# FeReW2

A geometry-optimized FeReW2 structure (PBE-GGA, Alexandria).

Output
- E_form (meV per atom) = 112
- space group = Pm (6)
- N(E_F) (states/eV/cell) = 2.44
- energy relative to the lowest polymorph listed for this composition (meV/atom) = 4
- total energy (eV per atom) = -11.592

Unit cell a=4.398 b=2.684 c=5.154 alpha=80.33 beta=90.00 gamma=90.00
Last column: magnetic moment on the atom in μB.
Fractional coordinates of all 4 atoms:
Fe 0.000 0.499 0.497  2.49
Re 0.500 0.749 0.748  0.09
W 0.000 0.000 0.994  0.03
W 0.500 0.252 0.260  0.02

***

[2]
# FeRe2W

A geometry-optimized FeRe2W structure (PBE-GGA, Alexandria).

Output
- E_form (meV per atom) = 200
- space group = Cmm2 (35)
- N(E_F) (states/eV/cell) = 3.81
- total energy (eV per atom) = -11.378

Unit cell a=2.679 b=2.679 c=8.595 alpha=90.00 beta=90.00 gamma=108.61
Last column: magnetic moment on the atom in μB.
Fractional coordinates of all 4 atoms:
Fe 0.500 0.500 0.752  2.21
Re 0.000 0.000 0.990  -0.01
Re 0.500 0.500 0.249  -0.10
W 0.000 0.000 0.510  -0.06

***

[3]
# FeReW

A geometry-optimized FeReW structure (PBE-GGA, Alexandria).

Output
- E_form (meV per atom) = 99
- space group = I4mm (107)
- N(E_F) (states/eV/cell) = 2.10
- energy relative to the lowest polymorph listed for this composition (meV/atom) = 57
- total energy (eV per atom) = -11.189

Unit cell a=6.094 b=6.094 c=6.094 alpha=154.52 beta=154.52 gamma=36.34
Fractional coordinates of all 3 atoms:
Fe 0.993 0.993 0.000
Re 0.349 0.349 0.000
W 0.657 0.657 0.000